Entry 1:
Entry from the Alexandria database: a relaxed structure of UGeAu (PBE-GGA).

Values from the calculation:
**ΔE_f**: -84 kJ/mol of formula units
**Energy**: -6.686 eV/atom

Unit cell a=5.7931 b=5.7931 c=6.0777 alpha=58.94 beta=58.94 gamma=44.99
With the nearest neighbours (Å) after each atom.
Fractional positions:
1 U 0.4967 0.4967 0.8050  1 U 2.41
2 U 0.5033 0.5033 0.1950  1 U 2.41
3 Ge 0.8115 0.8115 0.1907  2 Au 2.62
4 Ge 0.1885 0.1885 0.8093  2 Au 2.62
5 Au 0.8463 0.8463 0.6472  2 Ge 2.62, 1 Au 2.73
6 Au 0.1537 0.1537 0.3528  2 Ge 2.62, 1 Au 2.73

=====

Entry 2:
Entry from the Alexandria database: a relaxed structure of Pm2ZnHRu (PBE-GGA).

Values from the calculation:
**Energy**: -5.044 eV/atom

Unit cell a=4.3070 b=6.1497 c=8.0506 alpha=110.76 beta=90.00 gamma=90.00
With the nearest neighbours (Å) after each atom.
Fractional positions:
1 Ru 0.2500 0.6270 0.7790  1 H 1.74
2 Ru 0.7500 0.3730 0.2210  1 H 1.74
3 Zn 0.2500 0.6503 0.2736  2 Ru 2.69, 1 Pm 3.00
4 Zn 0.7500 0.3497 0.7264  2 Ru 2.69, 1 Pm 3.00
5 Pm 0.7500 0.7659 0.5717  2 H 2.38
6 Pm 0.2500 0.2151 0.9508  1 H 2.38
7 Pm 0.2500 0.2341 0.4283  2 H 2.38
8 Pm 0.7500 0.7849 0.0492  1 H 2.38
9 H 0.2500 0.8589 0.7032  1 Ru 1.74
10 H 0.7500 0.1411 0.2968  1 Ru 1.74

=====

Entry 3:
Entry from the Alexandria database: a relaxed structure of Na3IrO6 (PBE-GGA).

Values from the calculation:
**Distance to the lowest polymorph of the same formula**: 0.0000 eV/atom
**Formation energy without anion corrections**: -953 meV per atom
**Energy**: -5.210 eV/atom

Unit cell a=5.8356 b=5.6120 c=8.0443 alpha=90.16 beta=90.00 gamma=90.00
With the nearest neighbours (Å) after each atom.
Fractional positions:
1 O 0.8245 0.2689 0.0496  1 Ir 1.87
2 O 0.7645 0.3383 0.4307  1 Ir 1.87
3 O 0.2645 0.1617 0.0693  1 Ir 1.87
4 O 0.1755 0.7311 0.9504  1 Ir 1.87
5 O 0.4542 0.6115 0.2835  1 Ir 1.87
6 O 0.0458 0.1115 0.7835  1 Ir 1.87
7 O 0.7355 0.8383 0.9307  1 Ir 1.87
8 O 0.9542 0.8885 0.2165  1 Ir 1.87
9 O 0.3245 0.2311 0.4504  1 Ir 1.87
10 O 0.5458 0.3885 0.7165  1 Ir 1.87
11 O 0.2355 0.6617 0.5693  1 Ir 1.87
12 O 0.6755 0.7689 0.5496  1 Ir 1.87
13 Na 0.0000 0.0000 0.5000  6 O 2.33-2.41
14 Na 0.5000 0.5000 0.0000  6 O 2.33-2.41
15 Na 0.4431 0.9824 0.7466  5 O 2.37-2.59
16 Na 0.5569 0.0176 0.2534  5 O 2.37-2.59
17 Na 0.0569 0.4824 0.2466  5 O 2.37-2.59
18 Na 0.9431 0.5176 0.7534  5 O 2.37-2.59
19 Ir 0.0000 0.0000 0.0000  6 O 1.87
20 Ir 0.5000 0.5000 0.5000  6 O 1.87

=====

Entry 4:
Entry from the Alexandria database: a relaxed structure of Ba5CdHg6 (PBE-GGA).

Values from the calculation:
**ΔE_f**: -517 kJ/mol of formula units
**Energy**: -1.475 eV/atom

Unit cell a=5.8159 b=10.0887 c=10.0887 alpha=119.16 beta=106.80 gamma=106.80
With the nearest neighbours (Å) after each atom.
Fractional positions:
1 Cd 0.0000 0.0000 0.0000  8 Hg 3.55-3.66, 4 Ba 3.96
2 Ba 0.5000 0.1546 0.8454  8 Hg 3.48-3.78
3 Ba 0.5000 0.5000 0.5000  8 Hg 3.52-3.55
4 Ba 0.5000 0.8454 0.1546  8 Hg 3.48-3.78
5 Ba 0.0000 0.6718 0.3282  8 Hg 3.53-3.59
6 Ba 0.0000 0.3282 0.6718  8 Hg 3.53-3.59
7 Hg 0.7633 0.2641 0.2641  6 Ba 3.48-3.59, 2 Cd 3.65-3.66
8 Hg 0.2367 0.7359 0.7359  6 Ba 3.48-3.59, 2 Cd 3.65-3.66
9 Hg 0.7497 0.9147 0.5851  7 Ba 3.53-3.78, 1 Cd 3.55
10 Hg 0.2503 0.4149 0.0853  7 Ba 3.53-3.78, 1 Cd 3.55
11 Hg 0.7497 0.5851 0.9147  7 Ba 3.53-3.78, 1 Cd 3.55
12 Hg 0.2503 0.0853 0.4149  7 Ba 3.53-3.78, 1 Cd 3.55

=====

| no. | M_tot (μB/cell) |
| --- | --- |
| 1 | 0.0 |
| 2 | 0.0 |
| 3 | 0.3 |
| 4 | 0.0 |